Record 1
Density functional theory data (PBE-GGA) for LaCo2OsN after structural relaxation.

a b c (Å): 3.8417 3.8417 4.9877
angles (deg): 90.00 90.00 90.00
With the nearest neighbours (Å) after each atom.
Space group P4/mmm (No. 123)
Symmetry-distinct sites (fractional):
La 0.0000 0.0000 0.0000  2 N 2.49, 4 Os 2.72
Co 0.0000 0.5000 0.5000  2 N 1.92
Os 0.5000 0.5000 0.0000  4 La 2.72
N 0.0000 0.0000 0.5000  4 Co 1.92

Calculated total energy (eV per atom): -7.3947
ΔE_f (raw) (eV per atom): 0.3441
Density of states at the Fermi level (states/eV/cell): 5.578

=====

Record 2
Density functional theory data (PBE-GGA) for Pm7DyTm2 after structural relaxation.

a b c (Å): 8.8274 16.3807 5.6408
angles (deg): 90.00 90.00 90.00
With the nearest neighbours (Å) after each atom.
Space group Cmmm (No. 65)
Symmetry-distinct sites (fractional):
Pm 0.0000 0.0000 0.0000  2 Tm 3.36, 4 Pm 3.39
Pm 0.0000 0.2820 0.5000  2 Tm 3.09
Pm 0.1787 0.3864 0.0000  2 Pm 3.15-3.39, 2 Tm 3.21-3.36
Dy 0.0000 0.5000 0.5000  10 Pm 3.57-3.73
Tm 0.0000 0.2051 0.0000  7 Pm 3.09-3.36

Calculated total energy (eV per atom): -4.0279
DFT formation energy (eV per atom): 0.652
Density of states at the Fermi level (states/eV/cell): 29.898

=====

Record 3
Density functional theory data (PBE-GGA) for CdCo2NiC after structural relaxation.

a b c (Å): 3.8108 3.8108 3.8977
angles (deg): 90.00 90.00 90.00
With the nearest neighbours (Å) after each atom.
Space group P4/mmm (No. 123)
Symmetry-distinct sites (fractional):
Cd 0.0000 0.0000 0.0000  4 Ni 2.69, 8 Co 2.73
Co 0.0000 0.5000 0.5000  2 C 1.91
Ni 0.5000 0.5000 0.0000  2 C 1.95
C 0.5000 0.5000 0.5000  4 Co 1.91, 2 Ni 1.95

Calculated total energy (eV per atom): -5.9416
DFT formation energy (eV per atom): 0.085
Density of states at the Fermi level (states/eV/cell): 4.128

=====

Record 4
Density functional theory data (PBE-GGA) for SrLa2InPd after structural relaxation.

a b c (Å): 5.7140 5.7140 5.3663
angles (deg): 90.00 90.00 90.00
With the nearest neighbours (Å) after each atom.
Space group P4/mmm (No. 123)
Symmetry-distinct sites (fractional):
Sr 0.0000 0.0000 0.0000  8 La 3.92, 4 In 4.04
La 0.0000 0.5000 0.5000  2 Pd 2.86
In 0.5000 0.5000 0.0000  2 Pd 2.68
Pd 0.5000 0.5000 0.5000  2 In 2.68, 4 La 2.86

Calculated total energy (eV per atom): -4.1889
DFT formation energy (eV per atom): -0.295
Density of states at the Fermi level (states/eV/cell): 6.604

=====

- The highest density of states at the Fermi level belongs to which entry?
  Pm7DyTm2

=====

- Which value of density of states at the Fermi level does entry 3 give?
  4.128 states/eV/cell